Ac8Co2Ru: optimized geometry, PBE.

Lattice parameters (Å, degrees): 7.879 7.879 7.082 90.51 90.51 64.73
Fractional positions:
Ac 0.121 0.121 0.165
Ac 0.132 0.611 0.334
Ac 0.369 0.369 0.826
Ac 0.389 0.868 0.666
Ac 0.611 0.132 0.334
Ac 0.631 0.631 0.174
Ac 0.868 0.389 0.666
Ac 0.879 0.879 0.835
Co 0.232 0.232 0.516
Co 0.768 0.768 0.484
Ru 0.000 0.000 0.500

Output
**Formation enthalpy at 0 K**: -70.6 meV per atom
**Relative energy among the computed polymorphs**: 0 meV per atom



CrSi2Ru: optimized geometry, PBE.

Lattice parameters (Å, degrees): 2.798 4.356 4.176 90.00 90.00 90.00
Fractional positions:
Cr 0.000 0.000 0.000
Si 0.000 0.500 0.309
Si 0.500 0.000 0.485
Ru 0.500 0.500 0.797

Output
**Uncorrected formation energy**: -0.2602 eV/atom



Hf2TiNF: optimized geometry, PBE.

Lattice parameters (Å, degrees): 5.079 5.079 3.778 90.00 90.00 90.00
Fractional positions:
Hf 0.000 0.500 0.000
Hf 0.500 0.000 0.000
Ti 0.000 0.000 0.000
N 0.000 0.000 0.500
F 0.500 0.500 0.500

Output
**Uncorrected formation energy**: 0.4587 eV/atom



Er12PuSc5: optimized geometry, PBE.

Lattice parameters (Å, degrees): 5.980 5.980 16.692 93.43 93.43 119.98
Fractional positions:
Er 0.055 0.723 0.665
Er 0.112 0.446 0.838
Er 0.221 0.221 0.162
Er 0.277 0.945 0.335
Er 0.387 0.387 0.665
Er 0.446 0.112 0.838
Er 0.554 0.888 0.162
Er 0.613 0.613 0.335
Er 0.723 0.055 0.665
Er 0.779 0.779 0.838
Er 0.888 0.554 0.162
Er 0.945 0.277 0.335
Pu 0.000 0.000 0.500
Sc 0.167 0.833 0.000
Sc 0.333 0.667 0.500
Sc 0.500 0.500 0.000
Sc 0.667 0.333 0.500
Sc 0.833 0.167 0.000

Output
**Formation enthalpy at 0 K**: 45.5 meV per atom



Ρ for every record listed, in sequence, given in kg/m3: 8501, 6825, 7461, 8008.